Crystalline NiMo2Rh at its relaxed geometry. Source: Alexandria via LeMat-Bulk, functional GGA-PBE.

```
NiMo2Rh
1.0
-3.294 -3.257 0.099
-1.148 -4.264 1.403
-2.018 1.170 4.225
Mo Ni Rh
2 1 1
Cartesian
-1.992 1.125 4.148
-1.651 -1.506 1.553
-3.200 -3.194 2.799
-4.867 -4.781 4.317
```

Properties
SG ... Cm, No. 8



Crystalline Co2Sn2Au at its relaxed geometry. Source: Alexandria via LeMat-Bulk, functional GGA-PBE.

```
Co2Sn2Au
1.0
7.160 0.000 0.000
0.000 7.160 0.000
0.000 0.000 3.178
Co Au Sn
4 2 4
Cartesian
2.612 6.193 0.000
6.193 4.548 0.000
4.548 0.968 0.000
0.968 2.612 0.000
0.000 0.000 0.000
3.580 3.580 0.000
1.165 4.745 1.589
4.745 5.996 1.589
5.996 2.416 1.589
2.416 1.165 1.589
```

Properties
SG ... P4/mbm, No. 127



no.,ΔH_f (0 K) (meV/atom),final energy (hartree per atom)
1,-17,-0.320
2,16,-0.187